<w>
The following is a DFT calculation (GGA-PBE) of crystalline HoAl2V at its relaxed geometry.

SG	No. 166
calculated volume	74.6	Å³ per cell
total magnetization	0.000	μB per atom

abc: 9.802 9.802 9.802
angles: 17.53 17.53 17.53
Positions (direct):
1 Ho 0.000 0.000 0.000
2 Al 0.239 0.239 0.239
3 Al 0.761 0.761 0.761
4 V 0.500 0.500 0.500

***

<x>
The following is a DFT calculation (GGA-PBE) of crystalline HoAl2V at its relaxed geometry.

SG	No. 123
calculated volume	73.9	Å³ per cell
total magnetization	0.086	μB per atom

abc: 3.361 3.361 6.544
angles: 90.00 90.00 90.00
Positions (direct):
1 Ho 0.000 0.000 0.000
2 Al 0.500 0.500 0.304
3 Al 0.500 0.500 0.696
4 V 0.000 0.000 0.500

***

Ranked by calculated energy, most stable first: <x>, <w>.

***

<w>
The following is a DFT calculation (GGA-PBE) of crystalline YHo2Al9 at its relaxed geometry.

SG	No. 166
calculated volume	234.3	Å³ per cell
total magnetization	0.000	μB per atom

abc: 9.322 9.322 9.322
angles: 34.71 34.71 34.71
Positions (direct):
1 Y 0.000 0.000 0.000
2 Ho 0.142 0.142 0.142
3 Ho 0.858 0.858 0.858
4 Al 0.076 0.587 0.587
5 Al 0.335 0.335 0.335
6 Al 0.413 0.413 0.924
7 Al 0.413 0.924 0.413
8 Al 0.500 0.500 0.500
9 Al 0.587 0.076 0.587
10 Al 0.587 0.587 0.076
11 Al 0.665 0.665 0.665
12 Al 0.924 0.413 0.413

***

<x>
The following is a DFT calculation (GGA-PBE) of crystalline YHo2Al9 at its relaxed geometry.

SG	No. 123
calculated volume	230.4	Å³ per cell
total magnetization	0.000	μB per atom

abc: 4.251 4.251 12.752
angles: 90.00 90.00 90.00
Positions (direct):
1 Y 0.000 0.000 0.000
2 Ho 0.000 0.000 0.334
3 Ho 0.000 0.000 0.666
4 Al 0.000 0.500 0.168
5 Al 0.000 0.500 0.500
6 Al 0.000 0.500 0.832
7 Al 0.500 0.000 0.168
8 Al 0.500 0.000 0.500
9 Al 0.500 0.000 0.832
10 Al 0.500 0.500 0.000
11 Al 0.500 0.500 0.334
12 Al 0.500 0.500 0.666

***

Ranked by calculated energy, most stable first: <x>, <w>.

***

<w>
The following is a DFT calculation (GGA-PBE) of crystalline Y2HoAl at its relaxed geometry.

SG	No. 123
calculated volume	108.3	Å³ per cell
total magnetization	0.000	μB per atom

abc: 4.776 4.776 4.751
angles: 90.00 90.00 90.00
Positions (direct):
1 Y 0.000 0.500 0.000
2 Y 0.500 0.000 0.000
3 Ho 0.000 0.000 0.500
4 Al 0.500 0.500 0.500

***

<x>
The following is a DFT calculation (GGA-PBE) of crystalline Y2HoAl at its relaxed geometry.

SG	No. 160
calculated volume	116.1	Å³ per cell
total magnetization	0.180	μB per atom

abc: 10.572 10.572 10.572
angles: 19.58 19.58 19.58
Positions (direct):
1 Y 0.000 0.000 0.000
2 Y 0.188 0.188 0.188
3 Ho 0.760 0.760 0.760
4 Al 0.594 0.594 0.594

***

Ranked by calculated energy, most stable first: <w>, <x>.

***

<w>
The following is a DFT calculation (GGA-PBE) of crystalline Y2Ho3Al2 at its relaxed geometry.

SG	No. 65
calculated volume	191.8	Å³ per cell
total magnetization	0.076	μB per atom

abc: 16.174 16.174 3.455
angles: 90.00 90.00 167.75
Positions (direct):
1 Y 0.202 0.798 0.000
2 Y 0.798 0.202 0.000
3 Ho 0.379 0.621 0.500
4 Ho 0.500 0.500 0.500
5 Ho 0.621 0.379 0.500
6 Al 0.061 0.939 0.000
7 Al 0.939 0.061 0.000

***

<x>
The following is a DFT calculation (GGA-PBE) of crystalline Y2Ho3Al2 at its relaxed geometry.

SG	No. 166
calculated volume	186.9	Å³ per cell
total magnetization	0.000	μB per atom

abc: 8.368 8.368 8.368
angles: 36.65 36.65 36.65
Positions (direct):
1 Y 0.083 0.083 0.083
2 Y 0.917 0.917 0.917
3 Ho 0.347 0.347 0.347
4 Ho 0.500 0.500 0.500
5 Ho 0.653 0.653 0.653
6 Al 0.218 0.218 0.218
7 Al 0.782 0.782 0.782

***

Ranked by calculated energy, most stable first: <x>, <w>.

***

<w>
The following is a DFT calculation (GGA-PBE) of crystalline Y8HoAl2 at its relaxed geometry.

SG	No. 12
calculated volume	334.8	Å³ per cell
total magnetization	0.000	μB per atom

abc: 8.513 8.513 5.614
angles: 101.28 101.28 117.34
Positions (direct):
1 Y 0.086 0.325 0.606
2 Y 0.226 0.774 0.000
3 Y 0.325 0.086 0.606
4 Y 0.402 0.402 0.203
5 Y 0.598 0.598 0.797
6 Y 0.675 0.914 0.394
7 Y 0.774 0.226 0.000
8 Y 0.914 0.675 0.394
9 Ho 0.000 0.000 0.000
10 Al 0.308 0.692 0.500
11 Al 0.692 0.308 0.500

***

<x>
The following is a DFT calculation (GGA-PBE) of crystalline Y8HoAl2 at its relaxed geometry.

SG	No. 12
calculated volume	322.4	Å³ per cell
total magnetization	0.000	μB per atom

abc: 8.623 8.623 8.252
angles: 113.11 113.11 35.21
Positions (direct):
1 Y 0.057 0.057 0.234
2 Y 0.153 0.153 0.722
3 Y 0.312 0.312 0.546
4 Y 0.389 0.389 0.028
5 Y 0.611 0.611 0.972
6 Y 0.688 0.688 0.454
7 Y 0.847 0.847 0.278
8 Y 0.943 0.943 0.766
9 Ho 0.500 0.500 0.500
10 Al 0.224 0.224 0.142
11 Al 0.776 0.776 0.858

***

Ranked by calculated energy, most stable first: <x>, <w>.

***

<w>
The following is a DFT calculation (GGA-PBE) of crystalline YHo3Al2 at its relaxed geometry.

SG	No. 12
calculated volume	316.3	Å³ per cell
total magnetization	0.001	μB per atom

abc: 8.333 8.333 9.005
angles: 118.92 118.92 35.98
Positions (direct):
1 Y 0.131 0.131 0.180
2 Y 0.869 0.869 0.820
3 Ho 0.060 0.060 0.715
4 Ho 0.313 0.313 0.007
5 Ho 0.383 0.383 0.466
6 Ho 0.617 0.617 0.534
7 Ho 0.687 0.687 0.993
8 Ho 0.940 0.940 0.285
9 Al 0.235 0.235 0.600
10 Al 0.475 0.475 0.841
11 Al 0.525 0.525 0.159
12 Al 0.765 0.765 0.400

***

<x>
The following is a DFT calculation (GGA-PBE) of crystalline YHo3Al2 at its relaxed geometry.

SG	No. 26
calculated volume	314.0	Å³ per cell
total magnetization	0.000	μB per atom

abc: 5.082 9.429 6.553
angles: 90.00 90.00 90.00
Positions (direct):
1 Y 0.000 0.042 0.000
2 Y 0.000 0.958 0.500
3 Ho 0.000 0.323 0.657
4 Ho 0.000 0.677 0.157
5 Ho 0.500 0.179 0.287
6 Ho 0.500 0.458 0.944
7 Ho 0.500 0.542 0.444
8 Ho 0.500 0.821 0.787
9 Al 0.000 0.354 0.180
10 Al 0.000 0.646 0.680
11 Al 0.500 0.146 0.763
12 Al 0.500 0.854 0.263

***

Ranked by calculated energy, most stable first: <x>, <w>.